No. 1
Below is BaSr2Pd2 after structural relaxation, with properties calculated at the PBE level.

Geometry as POSCAR:
```
BaSr2Pd2
1.0
5.5635 0.0000 0.0000
0.0000 5.5635 0.0000
0.0000 0.0000 11.8111
Ba Sr Pd
2 4 4
direct
0.0000 0.0000 0.0000
0.5000 0.5000 0.5000
0.0000 0.0000 0.3364
0.0000 0.0000 0.6636
0.5000 0.5000 0.1636
0.5000 0.5000 0.8364
0.0000 0.5000 0.2500
0.0000 0.5000 0.7500
0.5000 0.0000 0.2500
0.5000 0.0000 0.7500
```

formation energy = -0.296 eV per atom
Fermi-level density of states = 0.387 states/eV/atom
E = -34.3 eV for the cell shown
E above lowest polymorph = 194 meV per atom
magnetic moment = 0.00 μB per formula unit
space-group type = I4/mmm
density = 4773 kg/m³

---

No. 2
Below is Li2DyScAu4 after structural relaxation, with properties calculated at the PBE level.

Geometry as POSCAR:
```
Li2DyScAu4
1.0
2.3097 1.3335 8.2690
-2.3097 1.3335 8.2690
0.0000 -2.6670 8.2690
Li Dy Sc Au
2 1 1 4
direct
0.2453 0.2453 0.2453
0.7547 0.7547 0.7547
0.0000 0.0000 0.0000
0.5000 0.5000 0.5000
0.1230 0.1230 0.1230
0.3872 0.3872 0.3872
0.6128 0.6128 0.6128
0.8770 0.8770 0.8770
```

formation energy = -0.701 eV per atom
Fermi-level density of states = 0.514 states/eV/atom
E = -33.5 eV for the cell shown
magnetic moment = 0.00 μB per formula unit
space-group type = R-3m
density = 10967 kg/m³

---

No. 3
Below is CeMg2As2Pd7 after structural relaxation, with properties calculated at the PBE level.

Geometry as POSCAR:
```
CeMg2As2Pd7
1.0
2.9121 -2.9293 0.0000
2.9121 2.9293 0.0000
0.0000 0.0000 12.2207
Ce Mg As Pd
1 2 2 7
direct
0.0000 0.0000 0.0000
0.0000 0.0000 0.3304
0.0000 0.0000 0.6696
0.5000 0.5000 0.3095
0.5000 0.5000 0.6905
0.0000 0.5000 0.1729
0.0000 0.5000 0.8271
0.2704 0.7296 0.5000
0.5000 0.0000 0.1729
0.5000 0.0000 0.8271
0.5000 0.5000 0.0000
0.7296 0.2704 0.5000
```

formation energy = -0.545 eV per atom
Fermi-level density of states = 0.713 states/eV/atom
E = -61.3 eV for the cell shown
magnetic moment = 0.29 μB per formula unit
space-group type = Cmmm
density = 8630 kg/m³

---

- magnetic moment of number 1 (BaSr2Pd2)?
  0.00 μB per formula unit